A geometry-optimized TbPr6Sm3Y2 structure. Source: Alexandria via LeMat-Bulk, functional PBE.

```
TbPr6Sm3Y2
1.0
3.177 -5.506 0.000
3.177 5.506 0.000
-2.116 0.000 11.841
Tb Pr Sm Y
1 6 3 2
Cartesian
0.000 0.000 0.000 Tb
1.060 1.831 2.940 Pr
-0.005 0.000 8.901 Pr
1.060 -1.831 2.940 Pr
3.179 1.831 8.901 Pr
4.243 0.000 2.940 Pr
3.179 -1.831 8.901 Pr
2.119 3.670 5.920 Sm
2.119 0.000 5.920 Sm
2.119 -3.670 5.920 Sm
3.177 1.834 0.000 Y
3.177 -1.834 0.000 Y
```

Summary:
DFT total energy in Ry per atom: -0.36918
M_tot in μB per formula unit: 0.00
V in A^3/atom: 34.52
Formation enthalpy at 0 K in eV per atom: 0.01

---

A geometry-optimized Tb2Pr3Sm6Y structure. Source: Alexandria via LeMat-Bulk, functional PBE.

```
Tb2Pr3Sm6Y
1.0
3.152 -5.459 0.000
3.152 5.459 0.000
-2.103 0.000 11.871
Tb Pr Sm Y
2 3 6 1
Cartesian
3.152 3.640 0.000 Tb
3.152 -3.640 0.000 Tb
-1.051 0.000 5.936 Pr
2.100 1.820 5.936 Pr
2.100 -1.820 5.936 Pr
-0.006 1.823 8.953 Sm
1.048 0.000 2.919 Sm
-0.006 -1.823 8.953 Sm
4.206 1.823 2.918 Sm
3.152 0.000 8.952 Sm
4.206 -1.823 2.918 Sm
3.152 0.000 0.000 Y
```

Summary:
DFT total energy in Ry per atom: -0.35638
M_tot in μB per formula unit: 0.00
V in A^3/atom: 34.04
Formation enthalpy at 0 K in eV per atom: 0.02

---

What did the second record say?
A geometry-optimized Tb2Pr3Sm6Y structure. Source: Alexandria via LeMat-Bulk, functional PBE.

```
Tb2Pr3Sm6Y
1.0
3.152 -5.459 0.000
3.152 5.459 0.000
-2.103 0.000 11.871
Tb Pr Sm Y
2 3 6 1
Cartesian
3.152 3.640 0.000 Tb
3.152 -3.640 0.000 Tb
-1.051 0.000 5.936 Pr
2.100 1.820 5.936 Pr
2.100 -1.820 5.936 Pr
-0.006 1.823 8.953 Sm
1.048 0.000 2.919 Sm
-0.006 -1.823 8.953 Sm
4.206 1.823 2.918 Sm
3.152 0.000 8.952 Sm
4.206 -1.823 2.918 Sm
3.152 0.000 0.000 Y
```

Summary:
DFT total energy in Ry per atom: -0.35638
M_tot in μB per formula unit: 0.00
V in A^3/atom: 34.04
Formation enthalpy at 0 K in eV per atom: 0.02